[1]
VASP calculation (PBE-GGA) on crystalline Re2PtCl at its relaxed geometry.

Geometry as CIF:
```
data_Re2PtCl
_space_group_name_H-M_alt 'P 1'
_space_group_IT_number 1
_cell_length_a 4.406
_cell_length_b 4.406
_cell_length_c 4.406
_cell_angle_alpha 60.00
_cell_angle_beta 60.00
_cell_angle_gamma 60.00
loop_
_space_group_symop_operation_xyz
'x,y,z'
loop_
_atom_site_label
_atom_site_fract_x
_atom_site_fract_y
_atom_site_fract_z
Re1 0.250 0.250 0.250
Re2 0.750 0.750 0.750
Cl1 0.000 0.000 0.000
Pt1 0.500 0.500 0.500
```

Results
**ΔE_f (raw)**: 87.5 kJ/mol of atoms
**Polymorph energy (0 for the lowest one)**: 671.8 meV per atom
**E_tot**: -0.26788 hartree per atom
**Symmetry**: Fm-3m, No. 225
**Magnetization**: 0.000 μB/cell
**Volume**: 15.115 A^3/atom



[2]
VASP calculation (PBE-GGA) on crystalline Rb2NdBe2Se4 at its relaxed geometry.

Geometry as CIF:
```
data_Rb2NdBe2Se4
_space_group_name_H-M_alt 'P 1'
_space_group_IT_number 1
_cell_length_a 3.915
_cell_length_b 8.496
_cell_length_c 8.077
_cell_angle_alpha 110.99
_cell_angle_beta 104.02
_cell_angle_gamma 90.00
loop_
_space_group_symop_operation_xyz
'x,y,z'
loop_
_atom_site_label
_atom_site_fract_x
_atom_site_fract_y
_atom_site_fract_z
Se1 0.208 0.138 0.415
Se2 0.535 0.763 0.071
Se3 0.792 0.862 0.585
Se4 0.465 0.237 0.929
Be1 0.329 0.027 0.659
Be2 0.671 0.973 0.341
Rb1 0.130 0.544 0.259
Rb2 0.870 0.456 0.741
Nd1 0.000 0.000 0.000
```

Results
**ΔE_f (raw)**: -102.8 kJ/mol of atoms
**E_tot**: -0.15385 hartree per atom
**Symmetry**: C2/m, No. 12
**Magnetization**: 0.012 μB/cell
**Volume**: 26.912 A^3/atom



[3]
VASP calculation (PBE-GGA) on crystalline Mg5CdIn4 at its relaxed geometry.

Geometry as CIF:
```
data_Mg5CdIn4
_space_group_name_H-M_alt 'P 1'
_space_group_IT_number 1
_cell_length_a 3.513
_cell_length_b 3.513
_cell_length_c 18.854
_cell_angle_alpha 90.00
_cell_angle_beta 90.00
_cell_angle_gamma 90.00
loop_
_space_group_symop_operation_xyz
'x,y,z'
loop_
_atom_site_label
_atom_site_fract_x
_atom_site_fract_y
_atom_site_fract_z
In1 0.000 0.000 0.194
In2 0.000 0.000 0.398
In3 0.000 0.000 0.602
In4 0.000 0.000 0.806
Mg1 0.500 0.500 0.295
Mg2 0.500 0.500 0.094
Mg3 0.500 0.500 0.500
Mg4 0.500 0.500 0.906
Mg5 0.500 0.500 0.705
Cd1 0.000 0.000 0.000
```

Results
**E_tot**: -0.07586 hartree per atom
**Symmetry**: P4/mmm, No. 123
**Magnetization**: 0.000 μB/cell
**DFT formation energy**: -0.0802 eV per atom
**Volume**: 23.265 A^3/atom



[4]
VASP calculation (PBE-GGA) on crystalline CsRbTl2In at its relaxed geometry.

Geometry as CIF:
```
data_CsRbTl2In
_space_group_name_H-M_alt 'P 1'
_space_group_IT_number 1
_cell_length_a 6.121
_cell_length_b 6.121
_cell_length_c 6.721
_cell_angle_alpha 90.00
_cell_angle_beta 90.00
_cell_angle_gamma 90.00
loop_
_space_group_symop_operation_xyz
'x,y,z'
loop_
_atom_site_label
_atom_site_fract_x
_atom_site_fract_y
_atom_site_fract_z
In1 0.000 0.000 0.000
Rb1 0.000 0.000 0.500
Cs1 0.500 0.500 0.500
Tl1 0.000 0.500 0.000
Tl2 0.500 0.000 0.000
```

Results
**E_tot**: -0.06486 hartree per atom
**Symmetry**: P4/mmm, No. 123
**Magnetization**: 0.000 μB/cell
**DFT formation energy**: 0.0934 eV per atom
**Volume**: 50.365 A^3/atom